DFT (PBE-GGA) results for a relaxed structure of Y2Cu2Ge.

Output
The value obtained for the distance to the lowest polymorph of the same formula is 0.131 eV/atom.

a b c (Å): 3.4415 3.4415 9.0392
angles (deg): 79.03 79.03 90.00
Sites, in units of the cell vectors:
Y (0.3914, 0.3914, 0.2172)
Y (0.6086, 0.6086, 0.7828)
Ge (0.0000, 0.0000, 0.0000)
Cu (0.7500, 0.2500, 0.5000)
Cu (0.2500, 0.7500, 0.5000)

DFT (PBE-GGA) results for a relaxed structure of CrCo2Ni3.

Output
Its total energy is -6.332 eV/atom.

a b c (Å): 2.3965 4.3706 7.3251
angles (deg): 107.36 99.41 90.00
Last column: magnetic moment on the atom in μB.
Sites, in units of the cell vectors:
Cr (0.0000, 0.0000, 0.0000)  1.47
Co (0.6499, 0.6499, 0.2999)  1.71
Co (0.3501, 0.3501, 0.7001)  1.71
Ni (0.0000, 0.5000, 0.0000)  0.40
Ni (0.8199, 0.8199, 0.6397)  0.57
Ni (0.1801, 0.1801, 0.3603)  0.57